Compound: PCl
Source: Alexandria via LeMat-Bulk
Functional: PBE
Structure: optimized geometry

Summary:
Polymorph energy (0 for the lowest one), kcal/mol of atoms: 36.80
M_tot, μB per cell: 0.00
Calculated volume, Å³/atom: 28.66

Unit cell a=4.328 b=4.328 c=4.328 alpha=60.00 beta=60.00 gamma=60.00
Fractional coordinates of all 2 atoms:
P 0.000 0.000 0.000
Cl 0.250 0.250 0.250